Compound: MoW3
Source: Alexandria via LeMat-Bulk
Functional: meta-GGA SCAN
Structure: single point on PBEsol structure

The space group is P-6m2 (No. 187) and the conventional cell measures 2.7451, 2.7451 and 9.7648 Å, with angles of 90.00, 90.00 and 120.00 degrees. The asymmetric unit holds Mo at (0.0000, 0.0000, 0.0000), W at (0.0000, 0.0000, 0.5000) and W at (0.6667, 0.3333, 0.2492).

The value obtained for the uncorrected energy is -241.69 eV/f.u. The value obtained for the density of states at the Fermi level is 3.8 states/eV/f.u. The value obtained for the offset from the most stable computed form is 572 meV per atom. The formation enthalpy at 0 K is 0.57 eV/atom.



Compound: Mo3W5
Source: Alexandria via LeMat-Bulk
Functional: meta-GGA SCAN
Structure: single point on PBEsol structure

The space group is Amm2 (No. 38) and the conventional cell measures 6.2874, 8.8919 and 8.8918 Å, with angles of 90.00, 90.00 and 90.00 degrees. The asymmetric unit holds Mo at (0.0000, 0.0000, 0.0000), Mo at (0.0000, 0.2497, 0.2495), Mo at (0.2495, 0.0000, 0.2495), Mo at (0.5000, 0.0000, 0.4991), W at (0.0000, 0.0000, 0.4988), W at (0.2494, 0.0000, 0.7495), W at (0.2494, 0.2500, 0.4995), W at (0.5000, 0.0000, 0.0000) and W at (0.5000, 0.2494, 0.2495).

The value obtained for the uncorrected energy is -453.12 eV/f.u. The value obtained for the density of states at the Fermi level is 4.4 states/eV/f.u. The value obtained for the offset from the most stable computed form is 5 meV per atom. The formation enthalpy at 0 K is 0.00 eV/atom.